1.
# ZrAl2Sb PBE relaxed
# Space group   R3m, No. 160
# Raw formation energy   -0.054 eV/atom
# Mass density   5.25 Mg/m³
# Volume   21.118 A^3/atom
data_ZrAl2Sb
_chemical_formula_sum 'Zr1 Al2 Sb1'
_space_group_name_H-M_alt 'P 1'
_space_group_IT_number 1
_space_group_name_Hall 'P 1'
_cell_length_a 9.028
_cell_length_b 9.028
_cell_length_c 9.028
_cell_angle_alpha 21.22
_cell_angle_beta 21.22
_cell_angle_gamma 21.22
loop_
_atom_site_label
_atom_site_type_symbol
_atom_site_fract_x
_atom_site_fract_y
_atom_site_fract_z
Sb1 Sb 0.503 0.503 0.503
Al1 Al 0.996 0.996 0.996
Al2 Al 0.254 0.254 0.254
Zr1 Zr 0.747 0.747 0.747

***

2.
# ZrAl2Sb PBE relaxed
# Space group   C2/m, No. 12
# Raw formation energy   -0.102 eV/atom
# Mass density   5.38 Mg/m³
# Volume   20.589 A^3/atom
data_ZrAl2Sb
_chemical_formula_sum 'Zr1 Al2 Sb1'
_space_group_name_H-M_alt 'P 1'
_space_group_IT_number 1
_space_group_name_Hall 'P 1'
_cell_length_a 5.635
_cell_length_b 5.574
_cell_length_c 3.155
_cell_angle_alpha 80.71
_cell_angle_beta 76.09
_cell_angle_gamma 115.94
loop_
_atom_site_label
_atom_site_type_symbol
_atom_site_fract_x
_atom_site_fract_y
_atom_site_fract_z
Sb1 Sb 0.000 0.500 0.500
Al1 Al 0.000 0.000 0.000
Al2 Al 0.500 0.000 0.500
Zr1 Zr 0.500 0.500 0.000

***

3.
# Zr2AlSb PBE relaxed
# Space group   Immm, No. 71
# Raw formation energy   -0.454 eV/atom
# Excess energy over the best structure of this formula in the dataset   40.3 kJ/mol of formula units
# Mass density   6.53 Mg/m³
# Volume   21.048 A^3/atom
data_Zr2AlSb
_chemical_formula_sum 'Zr2 Al1 Sb1'
_space_group_name_H-M_alt 'P 1'
_space_group_IT_number 1
_space_group_name_Hall 'P 1'
_cell_length_a 5.316
_cell_length_b 5.316
_cell_length_c 5.316
_cell_angle_alpha 135.24
_cell_angle_beta 125.45
_cell_angle_gamma 73.14
loop_
_atom_site_label
_atom_site_type_symbol
_atom_site_fract_x
_atom_site_fract_y
_atom_site_fract_z
Sb1 Sb 0.250 0.750 0.500
Al1 Al 0.750 0.250 0.500
Zr1 Zr 0.992 0.992 0.000
Zr2 Zr 0.508 0.508 0.000

***

4.
# ZrAlSb2 PBE relaxed
# Space group   P4mm, No. 99
# Raw formation energy   -0.134 eV/atom
# Mass density   6.24 Mg/m³
# Volume   24.065 A^3/atom
data_ZrAlSb2
_chemical_formula_sum 'Zr1 Al1 Sb2'
_space_group_name_H-M_alt 'P 1'
_space_group_IT_number 1
_space_group_name_Hall 'P 1'
_cell_length_a 3.249
_cell_length_b 3.249
_cell_length_c 9.119
_cell_angle_alpha 90.00
_cell_angle_beta 90.00
_cell_angle_gamma 90.00
loop_
_atom_site_label
_atom_site_type_symbol
_atom_site_fract_x
_atom_site_fract_y
_atom_site_fract_z
Sb1 Sb 0.000 0.000 0.943
Sb2 Sb 0.500 0.500 0.292
Al1 Al 0.500 0.500 0.731
Zr1 Zr 0.000 0.000 0.535

***

5.
# ZrAlSb2 PBE relaxed
# Space group   C2/m, No. 12
# Raw formation energy   -0.154 eV/atom
# Mass density   6.59 Mg/m³
# Volume   22.802 A^3/atom
data_ZrAlSb2
_chemical_formula_sum 'Zr1 Al1 Sb2'
_space_group_name_H-M_alt 'P 1'
_space_group_IT_number 1
_space_group_name_Hall 'P 1'
_cell_length_a 7.261
_cell_length_b 5.001
_cell_length_c 3.752
_cell_angle_alpha 90.32
_cell_angle_beta 58.37
_cell_angle_gamma 121.95
loop_
_atom_site_label
_atom_site_type_symbol
_atom_site_fract_x
_atom_site_fract_y
_atom_site_fract_z
Sb1 Sb 0.000 0.000 0.000
Sb2 Sb 0.500 0.000 0.500
Al1 Al 0.500 0.500 0.000
Zr1 Zr 0.000 0.500 0.500

***

6.
# Zr2AlSb PBE relaxed
# Space group   Pm, No. 6
# Raw formation energy   -0.558 eV/atom
# Excess energy over the best structure of this formula in the dataset   0.0 kJ/mol of formula units
# Mass density   6.45 Mg/m³
# Volume   21.325 A^3/atom
data_Zr2AlSb
_chemical_formula_sum 'Zr2 Al1 Sb1'
_space_group_name_H-M_alt 'P 1'
_space_group_IT_number 1
_space_group_name_Hall 'P 1'
_cell_length_a 4.086
_cell_length_b 3.912
_cell_length_c 5.685
_cell_angle_alpha 69.84
_cell_angle_beta 90.00
_cell_angle_gamma 90.00
loop_
_atom_site_label
_atom_site_type_symbol
_atom_site_fract_x
_atom_site_fract_y
_atom_site_fract_z
Sb1 Sb 0.500 0.542 0.788
Al1 Al 0.000 0.718 0.442
Zr1 Zr 0.000 0.972 0.929
Zr2 Zr 0.500 0.268 0.341

***

7.
# Zr2Al2Sb PBE relaxed
# Space group   P4/mbm, No. 127
# Raw formation energy   -0.299 eV/atom
# Excess energy over the best structure of this formula in the dataset   0.8 kJ/mol of formula units
# Mass density   5.34 Mg/m³
# Volume   22.256 A^3/atom
data_Zr2Al2Sb
_chemical_formula_sum 'Zr4 Al4 Sb2'
_space_group_name_H-M_alt 'P 1'
_space_group_IT_number 1
_space_group_name_Hall 'P 1'
_cell_length_a 7.401
_cell_length_b 7.401
_cell_length_c 4.064
_cell_angle_alpha 90.00
_cell_angle_beta 90.00
_cell_angle_gamma 90.00
loop_
_atom_site_label
_atom_site_type_symbol
_atom_site_fract_x
_atom_site_fract_y
_atom_site_fract_z
Sb1 Sb 0.000 0.000 0.000
Sb2 Sb 0.500 0.500 0.000
Al1 Al 0.132 0.632 0.500
Al2 Al 0.632 0.868 0.500
Al3 Al 0.868 0.368 0.500
Al4 Al 0.368 0.132 0.500
Zr1 Zr 0.337 0.837 0.000
Zr2 Zr 0.837 0.663 0.000
Zr3 Zr 0.663 0.163 0.000
Zr4 Zr 0.163 0.337 0.000

***

8.
# ZrAlSb2 PBE relaxed
# Space group   P4mm, No. 99
# Raw formation energy   -0.268 eV/atom
# Mass density   6.29 Mg/m³
# Volume   23.870 A^3/atom
data_ZrAlSb2
_chemical_formula_sum 'Zr1 Al1 Sb2'
_space_group_name_H-M_alt 'P 1'
_space_group_IT_number 1
_space_group_name_Hall 'P 1'
_cell_length_a 3.973
_cell_length_b 3.973
_cell_length_c 6.048
_cell_angle_alpha 90.00
_cell_angle_beta 90.00
_cell_angle_gamma 90.00
loop_
_atom_site_label
_atom_site_type_symbol
_atom_site_fract_x
_atom_site_fract_y
_atom_site_fract_z
Sb1 Sb 0.000 0.000 0.938
Sb2 Sb 0.500 0.500 0.321
Al1 Al 0.500 0.500 0.781
Zr1 Zr 0.000 0.000 0.460

***

9.
# ZrAl2Sb PBE relaxed
# Space group   Cmm2, No. 35
# Raw formation energy   -0.120 eV/atom
# Mass density   5.26 Mg/m³
# Volume   21.084 A^3/atom
data_ZrAl2Sb
_chemical_formula_sum 'Zr1 Al2 Sb1'
_space_group_name_H-M_alt 'P 1'
_space_group_IT_number 1
_space_group_name_Hall 'P 1'
_cell_length_a 3.073
_cell_length_b 3.073
_cell_length_c 8.964
_cell_angle_alpha 90.00
_cell_angle_beta 90.00
_cell_angle_gamma 94.74
loop_
_atom_site_label
_atom_site_type_symbol
_atom_site_fract_x
_atom_site_fract_y
_atom_site_fract_z
Sb1 Sb 0.000 0.000 0.513
Al1 Al 0.000 0.000 0.001
Al2 Al 0.500 0.500 0.211
Zr1 Zr 0.500 0.500 0.775

***

10.
# ZrAlSb2 PBE relaxed
# Space group   R3m, No. 160
# Raw formation energy   -0.052 eV/atom
# Mass density   5.90 Mg/m³
# Volume   25.440 A^3/atom
data_ZrAlSb2
_chemical_formula_sum 'Zr1 Al1 Sb2'
_space_group_name_H-M_alt 'P 1'
_space_group_IT_number 1
_space_group_name_Hall 'P 1'
_cell_length_a 11.221
_cell_length_b 11.221
_cell_length_c 11.221
_cell_angle_alpha 16.70
_cell_angle_beta 16.70
_cell_angle_gamma 16.70
loop_
_atom_site_label
_atom_site_type_symbol
_atom_site_fract_x
_atom_site_fract_y
_atom_site_fract_z
Sb1 Sb 0.020 0.020 0.020
Sb2 Sb 0.233 0.233 0.233
Al1 Al 0.755 0.755 0.755
Zr1 Zr 0.492 0.492 0.492

***

11.
# ZrAlSb2 PBE relaxed
# Space group   Cmm2, No. 35
# Raw formation energy   -0.157 eV/atom
# Mass density   6.25 Mg/m³
# Volume   24.020 A^3/atom
data_ZrAlSb2
_chemical_formula_sum 'Zr1 Al1 Sb2'
_space_group_name_H-M_alt 'P 1'
_space_group_IT_number 1
_space_group_name_Hall 'P 1'
_cell_length_a 3.262
_cell_length_b 3.262
_cell_length_c 9.220
_cell_angle_alpha 90.00
_cell_angle_beta 90.00
_cell_angle_gamma 101.67
loop_
_atom_site_label
_atom_site_type_symbol
_atom_site_fract_x
_atom_site_fract_y
_atom_site_fract_z
Sb1 Sb 0.000 0.000 0.949
Sb2 Sb 0.500 0.500 0.291
Al1 Al 0.500 0.500 0.733
Zr1 Zr 0.000 0.000 0.528

***

12.
# Zr2AlSb PBE relaxed
# Space group   Pmmm, No. 47
# Raw formation energy   -0.433 eV/atom
# Excess energy over the best structure of this formula in the dataset   48.2 kJ/mol of formula units
# Mass density   6.54 Mg/m³
# Volume   21.011 A^3/atom
data_Zr2AlSb
_chemical_formula_sum 'Zr2 Al1 Sb1'
_space_group_name_H-M_alt 'P 1'
_space_group_IT_number 1
_space_group_name_Hall 'P 1'
_cell_length_a 4.134
_cell_length_b 4.777
_cell_length_c 4.256
_cell_angle_alpha 90.00
_cell_angle_beta 90.00
_cell_angle_gamma 90.00
loop_
_atom_site_label
_atom_site_type_symbol
_atom_site_fract_x
_atom_site_fract_y
_atom_site_fract_z
Sb1 Sb 0.000 0.500 0.500
Al1 Al 0.500 0.000 0.500
Zr1 Zr 0.000 0.000 0.000
Zr2 Zr 0.500 0.500 0.000